# MnCu2Br

A relaxed structure of MnCu2Br (PBE, Alexandria).

Cell lengths 4.5181, 3.7691, 3.7691 Å; angles 90.00, 90.00, 90.00 degrees
Closest atoms and distances in Å follow each position.
Sites, in units of the cell vectors:
1 Cu 0.0000 0.5000 0.5000  4 Cu 2.67, 4 Mn 2.94, 4 Br 2.94
2 Br 0.5000 0.0000 0.5000  4 Mn 2.67, 8 Cu 2.94
3 Cu 0.0000 0.0000 0.0000  4 Cu 2.67, 4 Br 2.94, 4 Mn 2.94
4 Mn 0.5000 0.5000 0.0000  4 Br 2.67, 8 Cu 2.94

Results
uncorrected formation energy	1.9	eV per formula unit
distance to the lowest polymorph of the same formula	309	meV per atom
SG	P4/mmm (123)
E	-4.276	eV/atom